Run w
Entry from OQMD: a relaxed Nb2CoO6 crystal (PBE+U).

```
9
Lattice="5.1936 0.0000 0.0000 -2.5968 4.4978 0.0000 0.0000 0.0000 4.4054" Properties=species:S:1:pos:R:3 pbc="T T T"
Nb 0.0000 2.9985 0.0000
Nb 2.5968 1.4993 0.0000
Co 0.0000 0.0000 2.2027
O -0.8972 1.5540 3.3381
O -1.6996 2.9438 1.0673
O 1.7944 0.0000 3.3381
O 0.8972 1.5540 1.0673
O 3.3992 0.0000 1.0673
O 1.6996 2.9438 3.3381
```

***

Run x
Entry from OQMD: a relaxed Nb2CoO6 crystal (PBE+U).

```
36
Lattice="14.1638 0.0000 0.0000 0.0000 5.7301 0.0000 0.0000 0.0000 5.0478" Properties=species:S:1:pos:R:3 pbc="T T T"
Nb 2.2523 1.0532 1.2271
Nb 2.2523 4.6769 3.7510
Nb 4.8295 1.8118 3.7510
Nb 4.8295 3.9182 1.2271
Nb 9.3342 1.8118 3.8206
Nb 9.3342 3.9182 1.2967
Nb 11.9114 1.0532 1.2967
Nb 11.9114 4.6769 3.8206
Co 0.0000 1.9571 3.7858
Co 0.0000 3.7730 1.2619
Co 7.0819 0.9079 1.2619
Co 7.0819 4.8221 3.7858
O 1.1114 2.2126 2.0729
O 1.1114 3.5175 4.5968
O 1.3244 0.6076 4.6313
O 1.3244 5.1224 2.1074
O 3.4618 0.6890 2.8829
O 3.4618 5.0411 0.3591
O 3.6201 2.1761 0.3591
O 3.6201 3.5540 2.8829
O 5.7575 2.2574 2.1074
O 5.7575 3.4727 4.6313
O 5.9704 0.6525 4.5968
O 5.9704 5.0776 2.0729
O 8.1933 0.6525 2.9748
O 8.1933 5.0776 0.4509
O 8.4062 2.2574 0.4165
O 8.4062 3.4727 2.9404
O 10.5437 2.1761 2.1648
O 10.5437 3.5540 4.6887
O 10.7019 0.6890 4.6887
O 10.7019 5.0411 2.1648
O 12.8394 0.6076 2.9404
O 12.8394 5.1224 0.4165
O 13.0523 2.2126 0.4509
O 13.0523 3.5175 2.9748
```

***

run x ends up most stable, edging out the next structure by 103 meV per atom.